Entry 1:
Density functional theory data (PBE) for crystalline InGaAuI2 at its relaxed geometry. Values from VASP.

Cell and atoms, written as Quantum ESPRESSO input:
```
&SYSTEM
  ibrav = 0, nat = 5, ntyp = 4
/
ATOMIC_SPECIES
In 114.82 In.upf
Ga 69.72 Ga.upf
Au 196.97 Au.upf
I 126.90 I.upf
CELL_PARAMETERS angstrom
6.019 0.000 0.000
0.000 6.019 0.000
0.000 0.000 4.922
ATOMIC_POSITIONS angstrom
In 0.000 0.000 0.000
Ga 3.009 3.009 2.461
Au 3.009 3.009 0.000
I 0.000 3.009 2.461
I 3.009 0.000 2.461
```

Values from the calculation:
Raw formation energy (eV per atom): -0.12
N(E_F) (states/eV/atom): 0.299
E_tot (eV per atom): -2.553
Space group: P4/mmm, No. 123



Entry 2:
Density functional theory data (PBE) for crystalline GaIrAu2I at its relaxed geometry. Values from VASP.

Cell and atoms, written as Quantum ESPRESSO input:
```
&SYSTEM
  ibrav = 0, nat = 5, ntyp = 4
/
ATOMIC_SPECIES
Ga 69.72 Ga.upf
Ir 192.22 Ir.upf
Au 196.97 Au.upf
I 126.90 I.upf
CELL_PARAMETERS angstrom
5.367 0.000 0.000
0.000 5.367 0.000
0.000 0.000 4.895
ATOMIC_POSITIONS angstrom
Ga 0.000 0.000 0.000
Ir 2.683 2.683 0.000
Au 0.000 2.683 2.448
Au 2.683 0.000 2.448
I 2.683 2.683 2.448
```

Values from the calculation:
Raw formation energy (eV per atom): 1.19
N(E_F) (states/eV/atom): 0.733
ΔE to the lowest computed polymorph (eV per atom): 0.000
E_tot (eV per atom): -2.807
Space group: P4/mmm, No. 123



Entry 3:
Density functional theory data (PBE) for crystalline GaIrAu2I at its relaxed geometry. Values from VASP.

Cell and atoms, written as Quantum ESPRESSO input:
```
&SYSTEM
  ibrav = 0, nat = 5, ntyp = 4
/
ATOMIC_SPECIES
Ga 69.72 Ga.upf
Ir 192.22 Ir.upf
Au 196.97 Au.upf
I 126.90 I.upf
CELL_PARAMETERS angstrom
5.255 0.000 0.000
0.000 5.255 0.000
0.000 0.000 6.067
ATOMIC_POSITIONS angstrom
Ga 0.000 0.000 0.000
Ir 2.627 2.627 0.000
Au 0.000 2.627 3.033
Au 2.627 0.000 3.033
I 0.000 0.000 3.033
```

Values from the calculation:
Raw formation energy (eV per atom): 1.65
N(E_F) (states/eV/atom): 0.446
ΔE to the lowest computed polymorph (eV per atom): 0.459
E_tot (eV per atom): -2.348
Space group: P4/mmm, No. 123



Entry 4:
Density functional theory data (PBE) for crystalline KGa2AuI at its relaxed geometry. Values from VASP.

Cell and atoms, written as Quantum ESPRESSO input:
```
&SYSTEM
  ibrav = 0, nat = 5, ntyp = 4
/
ATOMIC_SPECIES
K 39.10 K.upf
Ga 69.72 Ga.upf
Au 196.97 Au.upf
I 126.90 I.upf
CELL_PARAMETERS angstrom
6.346 0.000 0.000
0.000 6.346 0.000
0.000 0.000 5.599
ATOMIC_POSITIONS angstrom
K 0.000 0.000 0.000
Ga 0.000 3.173 0.000
Ga 3.173 0.000 0.000
Au 0.000 0.000 2.799
I 3.173 3.173 2.799
```

Values from the calculation:
Raw formation energy (eV per atom): 0.62
N(E_F) (states/eV/atom): 0.825
E_tot (eV per atom): -1.778
Space group: P4/mmm, No. 123



Entry 5:
Density functional theory data (PBE) for crystalline K2GaAuI6 at its relaxed geometry. Values from VASP.

Cell and atoms, written as Quantum ESPRESSO input:
```
&SYSTEM
  ibrav = 0, nat = 10, ntyp = 4
/
ATOMIC_SPECIES
K 39.10 K.upf
Ga 69.72 Ga.upf
Au 196.97 Au.upf
I 126.90 I.upf
CELL_PARAMETERS angstrom
0.000 5.815 5.815
5.815 0.000 5.815
5.815 5.815 0.000
ATOMIC_POSITIONS angstrom
K 2.907 2.907 2.907
K 8.722 8.722 8.722
Ga 0.000 0.000 0.000
Au 5.815 5.815 5.815
I 5.815 5.815 2.886
I 5.815 2.886 5.815
I 8.743 5.815 5.815
I 2.886 5.815 5.815
I 5.815 8.743 5.815
I 5.815 5.815 8.743
```

Values from the calculation:
Raw formation energy (eV per atom): -0.67
N(E_F) (states/eV/atom): 0.362
E_tot (eV per atom): -2.447
Space group: Fm-3m, No. 225



Entry 6:
Density functional theory data (PBE) for crystalline GaMoAu2I at its relaxed geometry. Values from VASP.

Cell and atoms, written as Quantum ESPRESSO input:
```
&SYSTEM
  ibrav = 0, nat = 5, ntyp = 4
/
ATOMIC_SPECIES
Ga 69.72 Ga.upf
Mo 95.94 Mo.upf
Au 196.97 Au.upf
I 126.90 I.upf
CELL_PARAMETERS angstrom
5.322 0.000 0.000
0.000 5.322 0.000
0.000 0.000 5.911
ATOMIC_POSITIONS angstrom
Ga 0.000 0.000 0.000
Mo 2.661 2.661 0.000
Au 0.000 2.661 2.955
Au 2.661 0.000 2.955
I 0.000 0.000 2.955
```

Values from the calculation:
Raw formation energy (eV per atom): 1.53
N(E_F) (states/eV/atom): 0.502
E_tot (eV per atom): -2.865
Space group: P4/mmm, No. 123



Entry 7:
Density functional theory data (PBE) for crystalline GaAuI2N at its relaxed geometry. Values from VASP.

Cell and atoms, written as Quantum ESPRESSO input:
```
&SYSTEM
  ibrav = 0, nat = 5, ntyp = 4
/
ATOMIC_SPECIES
Ga 69.72 Ga.upf
Au 196.97 Au.upf
I 126.90 I.upf
N 14.01 N.upf
CELL_PARAMETERS angstrom
6.073 0.000 0.000
0.000 6.073 0.000
0.000 0.000 3.479
ATOMIC_POSITIONS angstrom
Ga 0.000 0.000 0.000
Au 3.036 3.036 1.740
I 0.000 3.036 0.000
I 3.036 0.000 0.000
N 0.000 0.000 1.740
```

Values from the calculation:
Raw formation energy (eV per atom): 0.67
N(E_F) (states/eV/atom): 0.651
ΔE to the lowest computed polymorph (eV per atom): 0.012
E_tot (eV per atom): -2.879
Space group: P4/mmm, No. 123



Entry 8:
Density functional theory data (PBE) for crystalline GaAuIN2 at its relaxed geometry. Values from VASP.

Cell and atoms, written as Quantum ESPRESSO input:
```
&SYSTEM
  ibrav = 0, nat = 5, ntyp = 4
/
ATOMIC_SPECIES
Ga 69.72 Ga.upf
Au 196.97 Au.upf
I 126.90 I.upf
N 14.01 N.upf
CELL_PARAMETERS angstrom
3.920 0.000 0.000
0.000 3.920 0.000
0.000 0.000 7.987
ATOMIC_POSITIONS angstrom
Ga 0.000 0.000 0.000
Au 1.960 1.960 3.993
I 0.000 0.000 3.993
N 0.000 1.960 0.000
N 1.960 0.000 0.000
```

Values from the calculation:
Raw formation energy (eV per atom): 1.26
N(E_F) (states/eV/atom): 0.748
ΔE to the lowest computed polymorph (eV per atom): 0.000
E_tot (eV per atom): -3.638
Space group: P4/mmm, No. 123



Entry 9:
Density functional theory data (PBE) for crystalline GaAuIN2 at its relaxed geometry. Values from VASP.

Cell and atoms, written as Quantum ESPRESSO input:
```
&SYSTEM
  ibrav = 0, nat = 5, ntyp = 4
/
ATOMIC_SPECIES
Ga 69.72 Ga.upf
Au 196.97 Au.upf
I 126.90 I.upf
N 14.01 N.upf
CELL_PARAMETERS angstrom
4.157 0.000 0.000
0.000 4.157 0.000
0.000 0.000 8.232
ATOMIC_POSITIONS angstrom
Ga 0.000 0.000 0.000
Au 2.078 2.078 4.116
I 2.078 2.078 0.000
N 0.000 2.078 4.116
N 2.078 0.000 4.116
```

Values from the calculation:
Raw formation energy (eV per atom): 1.48
N(E_F) (states/eV/atom): 0.298
ΔE to the lowest computed polymorph (eV per atom): 0.212
E_tot (eV per atom): -3.426
Space group: P4/mmm, No. 123



Entry 10:
Density functional theory data (PBE) for crystalline GaAuI2N at its relaxed geometry. Values from VASP.

Cell and atoms, written as Quantum ESPRESSO input:
```
&SYSTEM
  ibrav = 0, nat = 5, ntyp = 4
/
ATOMIC_SPECIES
Ga 69.72 Ga.upf
Au 196.97 Au.upf
I 126.90 I.upf
N 14.01 N.upf
CELL_PARAMETERS angstrom
6.150 0.000 0.000
0.000 6.150 0.000
0.000 0.000 3.825
ATOMIC_POSITIONS angstrom
Ga 0.000 0.000 0.000
Au 3.075 3.075 1.912
I 0.000 3.075 1.912
I 3.075 0.000 1.912
N 3.075 3.075 0.000
```

Values from the calculation:
Raw formation energy (eV per atom): 0.66
N(E_F) (states/eV/atom): 0.760
ΔE to the lowest computed polymorph (eV per atom): 0.000
E_tot (eV per atom): -2.890
Space group: P4/mmm, No. 123



Entry 11:
Density functional theory data (PBE) for crystalline Pr6Ga2AuI3 at its relaxed geometry. Values from VASP.

Cell and atoms, written as Quantum ESPRESSO input:
```
&SYSTEM
  ibrav = 0, nat = 12, ntyp = 4
/
ATOMIC_SPECIES
Pr 140.91 Pr.upf
Ga 69.72 Ga.upf
Au 196.97 Au.upf
I 126.90 I.upf
CELL_PARAMETERS angstrom
3.820 -6.674 0.000
3.820 6.674 0.000
-2.588 0.000 7.598
ATOMIC_POSITIONS angstrom
Pr -0.052 2.257 5.980
Pr 1.229 0.000 1.618
Pr -0.052 -2.257 5.980
Pr 5.103 2.257 1.618
Pr 3.822 0.000 5.979
Pr 5.103 -2.257 1.618
Ga 3.820 4.452 0.000
Ga 3.820 -4.452 0.000
Au 3.820 0.000 0.000
I -1.294 0.000 3.799
I 2.526 2.246 3.799
I 2.526 -2.246 3.799
```

Values from the calculation:
Raw formation energy (eV per atom): -0.79
N(E_F) (states/eV/atom): 0.981
E_tot (eV per atom): -4.341
Space group: C2/m, No. 12



Copy entry 10 word for word.
Density functional theory data (PBE) for crystalline GaAuI2N at its relaxed geometry. Values from VASP.

Cell and atoms, written as Quantum ESPRESSO input:
```
&SYSTEM
  ibrav = 0, nat = 5, ntyp = 4
/
ATOMIC_SPECIES
Ga 69.72 Ga.upf
Au 196.97 Au.upf
I 126.90 I.upf
N 14.01 N.upf
CELL_PARAMETERS angstrom
6.150 0.000 0.000
0.000 6.150 0.000
0.000 0.000 3.825
ATOMIC_POSITIONS angstrom
Ga 0.000 0.000 0.000
Au 3.075 3.075 1.912
I 0.000 3.075 1.912
I 3.075 0.000 1.912
N 3.075 3.075 0.000
```

Values from the calculation:
Raw formation energy (eV per atom): 0.66
N(E_F) (states/eV/atom): 0.760
ΔE to the lowest computed polymorph (eV per atom): 0.000
E_tot (eV per atom): -2.890
Space group: P4/mmm, No. 123



Q: Look up the E_tot of the seventh one.
A: -2.879 eV per atom



Q: Number 9 is which compound?
A: GaAuIN2